No. 1
The following is a DFT calculation (GGA-PBE) of crystalline Pm2Sm2Y6Ho at its relaxed geometry.

The value obtained for the theoretical density is 5.86 g cm⁻³. The formation energy comes out at 0.136 eV per atom. The value obtained for the density of states at the Fermi level is 1.575 states/eV/atom.

abc: 6.698 6.698 12.000
angles: 101.69 101.69 129.51
Sites, in units of the cell vectors:
1 Pm 0.291 0.709 0.500
2 Pm 0.709 0.291 0.500
3 Sm 0.869 0.131 0.000
4 Sm 0.131 0.869 0.000
5 Y 0.704 0.704 0.703
6 Y 0.148 0.450 0.798
7 Y 0.296 0.296 0.297
8 Y 0.450 0.148 0.798
9 Y 0.852 0.550 0.202
10 Y 0.550 0.852 0.202
11 Ho 0.000 0.000 0.500

***

No. 2
The following is a DFT calculation (GGA-PBE) of crystalline Pm2SmY6Ho2 at its relaxed geometry.

The value obtained for the theoretical density is 5.92 g cm⁻³. The formation energy comes out at 0.150 eV per atom. The value obtained for the density of states at the Fermi level is 1.619 states/eV/atom.

abc: 6.668 6.668 12.086
angles: 101.66 101.66 129.40
Sites, in units of the cell vectors:
1 Pm 0.865 0.135 0.000
2 Pm 0.135 0.865 0.000
3 Sm 0.000 0.000 0.500
4 Y 0.707 0.707 0.708
5 Y 0.136 0.443 0.790
6 Y 0.293 0.293 0.292
7 Y 0.443 0.136 0.790
8 Y 0.864 0.557 0.210
9 Y 0.557 0.864 0.210
10 Ho 0.296 0.704 0.500
11 Ho 0.704 0.296 0.500

***

No. 3
The following is a DFT calculation (GGA-PBE) of crystalline PmSmY3Ho at its relaxed geometry.

The value obtained for the theoretical density is 6.17 g cm⁻³. The formation energy comes out at 0.020 eV per atom. The value obtained for the density of states at the Fermi level is 1.445 states/eV/atom.

abc: 5.071 8.023 10.145
angles: 90.00 90.00 108.42
Sites, in units of the cell vectors:
1 Pm 0.499 0.998 0.750
2 Pm 0.501 0.002 0.250
3 Sm 0.000 0.000 0.500
4 Sm 0.000 0.000 0.000
5 Y 0.667 0.334 0.500
6 Y 0.333 0.666 0.500
7 Y 0.333 0.666 0.000
8 Y 0.667 0.334 0.000
9 Y 0.168 0.335 0.750
10 Y 0.832 0.665 0.250
11 Ho 0.833 0.666 0.750
12 Ho 0.167 0.334 0.250

***

No. 4
The following is a DFT calculation (GGA-PBE) of crystalline PmSm2Y2Ho at its relaxed geometry.

The value obtained for the theoretical density is 6.50 g cm⁻³. The formation energy comes out at 0.256 eV per atom. The value obtained for the density of states at the Fermi level is 1.542 states/eV/atom.

abc: 3.418 6.617 17.804
angles: 90.00 90.00 90.00
Sites, in units of the cell vectors:
1 Pm 0.000 0.000 0.000
2 Pm 0.500 0.500 0.500
3 Sm 0.500 0.226 0.352
4 Sm 0.000 0.726 0.148
5 Sm 0.500 0.774 0.648
6 Sm 0.000 0.274 0.852
7 Y 0.500 0.730 0.317
8 Y 0.500 0.270 0.683
9 Y 0.000 0.770 0.817
10 Y 0.000 0.230 0.183
11 Ho 0.500 0.500 0.000
12 Ho 0.000 0.000 0.500

***

No. 5
The following is a DFT calculation (GGA-PBE) of crystalline Pm6Sm3YHo2 at its relaxed geometry.

The value obtained for the theoretical density is 7.19 g cm⁻³. The formation energy comes out at 0.013 eV per atom. The value obtained for the density of states at the Fermi level is 1.296 states/eV/atom.

abc: 6.278 6.278 11.956
angles: 95.02 95.02 120.01
Sites, in units of the cell vectors:
1 Pm 0.917 0.583 0.753
2 Pm 0.749 0.749 0.248
3 Pm 0.083 0.417 0.247
4 Pm 0.583 0.917 0.753
5 Pm 0.251 0.251 0.752
6 Pm 0.417 0.083 0.247
7 Sm 0.167 0.833 0.500
8 Sm 0.833 0.167 0.500
9 Sm 0.500 0.500 0.500
10 Y 0.000 0.000 0.000
11 Ho 0.333 0.667 0.000
12 Ho 0.667 0.333 0.000

***

No. 6
The following is a DFT calculation (GGA-PBE) of crystalline Pm6SmY2Ho at its relaxed geometry.

The value obtained for the theoretical density is 6.67 g cm⁻³. The formation energy comes out at 0.118 eV per atom. The value obtained for the density of states at the Fermi level is 1.472 states/eV/atom.

abc: 9.571 8.948 8.948
angles: 116.94 93.22 93.22
Sites, in units of the cell vectors:
1 Pm 0.057 0.116 0.761
2 Pm 0.443 0.239 0.884
3 Pm 0.943 0.884 0.239
4 Pm 0.557 0.761 0.116
5 Pm 0.314 0.992 0.439
6 Pm 0.186 0.561 0.008
7 Pm 0.686 0.008 0.561
8 Pm 0.814 0.439 0.992
9 Pm 0.116 0.707 0.482
10 Pm 0.384 0.518 0.293
11 Pm 0.884 0.293 0.518
12 Pm 0.616 0.482 0.707
13 Sm 0.250 0.968 0.032
14 Sm 0.750 0.032 0.968
15 Y 0.451 0.797 0.700
16 Y 0.049 0.300 0.203
17 Y 0.549 0.203 0.300
18 Y 0.951 0.700 0.797
19 Ho 0.250 0.411 0.589
20 Ho 0.750 0.589 0.411